[1]
This record from Alexandria via LeMat-Bulk describes an optimized crystal structure of Si2AgOs. The functional is PBEsol.

The offset from the most stable computed form is 257 meV per atom. The total magnetization is 0.0 μB per formula unit. The value obtained for the uncorrected formation energy is 0.279 eV per atom.

It has space group I-4m2 (No. 119), with a = 3.721 Å, b = 3.721 Å, c = 8.047 Å, α = 90.00°, β = 90.00° and γ = 90.00°. Symmetry generates all atoms from Si at (0.000, 0.000, 0.000), Si at (0.000, 0.500, 0.250), Ag at (0.000, 0.000, 0.500) and Os at (0.000, 0.500, 0.750).

[2]
This record from Alexandria via LeMat-Bulk describes an optimized crystal structure of Tl3BIr. The functional is PBEsol.

For the calculated formation energy, the calculation gives 1188 meV per atom. The total magnetization is 0.0 μB per formula unit.

It has space group Pm-3m (No. 221), with a = 4.661 Å, b = 4.661 Å, c = 4.661 Å, α = 90.00°, β = 90.00° and γ = 90.00°. Symmetry generates all atoms from Tl at (0.000, 0.000, 0.500), B at (0.000, 0.000, 0.000) and Ir at (0.500, 0.500, 0.500).

[3]
This record from Alexandria via LeMat-Bulk describes an optimized crystal structure of Cs3U2PO10. The functional is PBEsol.

The total magnetization is 0.0 μB per formula unit. The value obtained for the uncorrected formation energy is -2.691 eV per atom.

It has space group C2/c (No. 15), with a = 13.576 Å, b = 8.126 Å, c = 12.391 Å, α = 90.00°, β = 114.60° and γ = 90.00°. Symmetry generates all atoms from Cs at (0.000, 0.000, 0.000), Cs at (0.203, 0.214, 0.319), U at (0.000, 0.500, 0.000), U at (0.250, 0.250, 0.000), P at (0.000, 0.264, 0.750), O at (0.043, 0.371, 0.676), O at (0.070, 0.329, 0.457), O at (0.094, 0.155, 0.835), O at (0.148, 0.363, 0.070) and O at (0.242, 0.055, 0.076).

[4]
This record from Alexandria via LeMat-Bulk describes an optimized crystal structure of TcMoP2. The functional is PBEsol.

For the calculated formation energy, the calculation gives -623 meV per atom. The total magnetization is 0.0 μB per formula unit.

It has space group Imm2 (No. 44), with a = 3.114 Å, b = 3.134 Å, c = 11.330 Å, α = 90.00°, β = 90.00° and γ = 90.00°. Symmetry generates all atoms from Tc at (0.000, 0.000, 0.000), Mo at (0.000, 0.500, 0.749), P at (0.000, 0.000, 0.586) and P at (0.000, 0.500, 0.337).

[5]
This record from Alexandria via LeMat-Bulk describes an optimized crystal structure of Ca2LaI. The functional is PBEsol.

The total magnetization is 1.4 μB per formula unit. The value obtained for the uncorrected formation energy is 0.054 eV per atom.

It has space group Fm-3m (No. 225), with a = 8.246 Å, b = 8.246 Å, c = 8.246 Å, α = 90.00°, β = 90.00° and γ = 90.00°. Symmetry generates all atoms from Ca at (0.250, 0.250, 0.250), La at (0.000, 0.000, 0.000) and I at (0.000, 0.000, 0.500).

[6]
This record from Alexandria via LeMat-Bulk describes an optimized crystal structure of NaHgI2N. The functional is PBEsol.

The total magnetization is 3.0 μB per formula unit. The value obtained for the uncorrected formation energy is 0.741 eV per atom.

It has space group P4/mmm (No. 123), with a = 5.845 Å, b = 5.845 Å, c = 4.480 Å, α = 90.00°, β = 90.00° and γ = 90.00°. Symmetry generates all atoms from Na at (0.000, 0.000, 0.000), Hg at (0.500, 0.500, 0.500), I at (0.000, 0.500, 0.000) and N at (0.000, 0.000, 0.500).

[7]
This record from Alexandria via LeMat-Bulk describes an optimized crystal structure of ZnRe3O. The functional is PBEsol.

The total magnetization is 0.0 μB per formula unit. The value obtained for the uncorrected formation energy is 0.568 eV per atom.

It has space group Pm-3m (No. 221), with a = 4.038 Å, b = 4.038 Å, c = 4.038 Å, α = 90.00°, β = 90.00° and γ = 90.00°. Symmetry generates all atoms from Zn at (0.000, 0.000, 0.000), Re at (0.000, 0.500, 0.500) and O at (0.500, 0.500, 0.500).

[8]
This record from Alexandria via LeMat-Bulk describes an optimized crystal structure of SrCaRu2O6. The functional is PBEsol.

The total magnetization is 3.6 μB per formula unit. The value obtained for the uncorrected formation energy is -1.849 eV per atom.

It has space group Pmc2_1 (No. 26), with a = 7.726 Å, b = 5.426 Å, c = 5.523 Å, α = 90.00°, β = 90.00° and γ = 90.00°. Symmetry generates all atoms from Sr at (0.000, 0.241, 0.000), Ca at (0.500, 0.260, 0.908), Ru at (0.254, 0.249, 0.460), O at (0.000, 0.313, 0.453), O at (0.220, 0.044, 0.752), O at (0.298, 0.455, 0.167) and O at (0.500, 0.163, 0.484).